Record 1
# Al2CdPb2

Al2CdPb2 after structural relaxation (GGA-PBE, the Alexandria database).

```
Al2CdPb2
1.0
-1.391 -0.358 -7.115
7.027 -1.260 -1.310
-0.769 -4.695 0.387
Pb Cd Al
4 2 4
direct
0.179 0.679 0.500
0.321 0.179 0.500
0.821 0.321 0.500
0.679 0.821 0.500
0.000 0.000 0.000
0.500 0.500 0.000
0.370 0.870 0.000
0.870 0.630 0.000
0.630 0.130 0.000
0.130 0.370 0.000
```

Summary:
Density of states at the Fermi level, states/eV/cell: 4.0
Magnetization, μB/cell: 0.00
Distance to the lowest polymorph of the same formula, eV per atom: 0.0000
Crystal system: tetragonal
Symmetry: P4/mbm, No. 127


Record 2
# Al2CdPb2

Al2CdPb2 after structural relaxation (GGA-PBE, the Alexandria database).

```
Al2CdPb2
1.0
8.776 0.000 0.000
0.000 8.776 0.000
0.000 0.000 3.421
Pb Al Cd
4 4 2
direct
0.817 0.683 0.000
0.183 0.317 0.000
0.683 0.183 0.000
0.317 0.817 0.000
0.388 0.112 0.500
0.112 0.612 0.500
0.888 0.388 0.500
0.612 0.888 0.500
0.000 0.000 0.000
0.500 0.500 0.000
```

Summary:
Density of states at the Fermi level, states/eV/cell: 5.0
Magnetization, μB/cell: 0.00
Distance to the lowest polymorph of the same formula, eV per atom: 0.1085
Crystal system: tetragonal
Symmetry: P4/mbm, No. 127


Record 3
# Al2CdPb

Al2CdPb after structural relaxation (GGA-PBE, the Alexandria database).

```
Al2CdPb
1.0
-1.265 -2.960 -5.175
4.552 -2.940 -2.789
-3.525 0.618 4.933
Al Cd Pb
2 1 1
direct
0.512 0.512 0.000
0.988 0.988 0.000
0.750 0.250 0.500
0.250 0.750 0.500
```

Summary:
Density of states at the Fermi level, states/eV/cell: 1.9
Magnetization, μB/cell: 0.00
Distance to the lowest polymorph of the same formula, eV per atom: 0.1272
Crystal system: orthorhombic
Symmetry: Immm, No. 71


Record 4
# Al2Cd2Pb

Al2Cd2Pb after structural relaxation (GGA-PBE, the Alexandria database).

```
Al2Cd2Pb
1.0
-7.409 -4.245 1.114
1.930 -5.115 -6.653
1.429 -1.985 1.941
Pb Al Cd
2 4 4
direct
0.000 0.000 0.000
0.500 0.500 0.000
0.335 0.165 0.500
0.165 0.665 0.500
0.665 0.835 0.500
0.835 0.335 0.500
0.868 0.632 0.000
0.132 0.368 0.000
0.368 0.868 0.000
0.632 0.132 0.000
```

Summary:
Density of states at the Fermi level, states/eV/cell: 5.0
Magnetization, μB/cell: 0.00
Distance to the lowest polymorph of the same formula, eV per atom: 0.0402
Crystal system: tetragonal
Symmetry: P4/mbm, No. 127


For reference, DFT formation energy by record: 0.177; 0.285; 0.277; 0.205 eV per atom.